The following is a DFT calculation (PBEsol) of a relaxed Tm3Ge2Rh2 crystal.

```
Tm3Ge2Rh2
1.0
5.469 0.000 0.000
0.000 7.562 0.000
0.000 0.000 12.975
Tm Ge Rh
12 8 8
Direct
0.128 0.236 0.250
0.128 0.264 0.750
0.354 0.602 0.100
0.354 0.602 0.400
0.354 0.898 0.600
0.354 0.898 0.900
0.646 0.102 0.100
0.646 0.102 0.400
0.646 0.398 0.600
0.646 0.398 0.900
0.872 0.736 0.250
0.872 0.764 0.750
0.173 0.250 0.000
0.173 0.250 0.500
0.377 0.614 0.750
0.377 0.886 0.250
0.623 0.114 0.750
0.623 0.386 0.250
0.827 0.750 0.000
0.827 0.750 0.500
0.127 0.547 0.593
0.127 0.547 0.907
0.127 0.953 0.093
0.127 0.953 0.407
0.873 0.047 0.593
0.873 0.047 0.907
0.873 0.453 0.093
0.873 0.453 0.407
```

As for the electronic total energy: -6.805 eV/atom. The value obtained for the formation energy is -0.97 eV/atom. The value obtained for the size of the total moment is 0.0 μB per formula unit.

=====

The following is a DFT calculation (PBEsol) of a relaxed TmGeRh crystal.

```
TmGeRh
1.0
6.738 0.000 0.000
0.000 4.224 0.000
0.000 0.000 7.424
Tm Ge Rh
4 4 4
Direct
0.004 0.250 0.195
0.496 0.750 0.695
0.504 0.250 0.305
0.996 0.750 0.805
0.214 0.750 0.392
0.286 0.250 0.892
0.714 0.750 0.108
0.786 0.250 0.608
0.157 0.250 0.566
0.343 0.750 0.066
0.657 0.250 0.934
0.843 0.750 0.434
```

As for the electronic total energy: -7.027 eV/atom. The value obtained for the formation energy is -1.04 eV/atom. The value obtained for the size of the total moment is 0.0 μB per formula unit.